Entry 1:
# PmReC

A relaxed PmReC crystal (GGA-PBE, Alexandria via LeMat-Bulk).

abc: 5.7492 5.7492 5.7492
angles: 150.47 150.47 42.25
Fractional coordinates of all 3 atoms:
Pm 0.0000 0.0000 0.0000
Re 0.2728 0.2728 0.0000
C 0.7042 0.7042 0.0000

Calculated values
Fermi-level density of states (states/eV/cell): 3.3
Offset from the most stable computed form (meV per atom): 443

Entry 2:
# Tm7CoI12

A relaxed Tm7CoI12 crystal (GGA-PBE, Alexandria via LeMat-Bulk).

abc: 9.6589 9.6589 9.6589
angles: 106.85 106.85 106.85
Fractional coordinates of all 20 atoms:
Tm 0.0000 0.0000 0.0000
Tm 0.2159 0.4091 0.4792
Tm 0.4091 0.4792 0.2159
Tm 0.4792 0.2159 0.4091
Tm 0.5208 0.7841 0.5909
Tm 0.5909 0.5208 0.7841
Tm 0.7841 0.5909 0.5208
Co 0.5000 0.5000 0.5000
I 0.0366 0.3380 0.1133
I 0.1133 0.0366 0.3380
I 0.1758 0.7230 0.5703
I 0.2770 0.4297 0.8242
I 0.3380 0.1133 0.0366
I 0.4297 0.8242 0.2770
I 0.5703 0.1758 0.7230
I 0.6620 0.8867 0.9634
I 0.7230 0.5703 0.1758
I 0.8242 0.2770 0.4297
I 0.8867 0.9634 0.6620
I 0.9634 0.6620 0.8867

Calculated values
Raw formation energy (meV per atom): -1171

Entry 3:
# KRb2SbO4

A relaxed KRb2SbO4 crystal (GGA-PBE, Alexandria via LeMat-Bulk).

abc: 6.1076 6.1076 6.1076
angles: 108.64 108.64 111.15
Fractional coordinates of all 8 atoms:
K 0.0000 0.0000 0.0000
Rb 0.0000 0.5000 0.5000
Rb 0.5000 0.0000 0.5000
Sb 0.5000 0.5000 0.0000
O 0.1808 0.1808 0.6924
O 0.4885 0.4885 0.3076
O 0.5115 0.8192 0.0000
O 0.8192 0.5115 0.0000

Calculated values
Fermi-level density of states (states/eV/cell): 0.0
Raw formation energy (meV per atom): -1486

Entry 4:
# In2SnOsI

A relaxed In2SnOsI crystal (GGA-PBE, Alexandria via LeMat-Bulk).

abc: 5.3177 5.3177 5.1545
angles: 90.00 90.00 90.00
Fractional coordinates of all 5 atoms:
In 0.0000 0.5000 0.0000
In 0.5000 0.0000 0.0000
Sn 0.0000 0.0000 0.5000
Os 0.0000 0.0000 0.0000
I 0.5000 0.5000 0.5000

Calculated values
Fermi-level density of states (states/eV/cell): 3.9
Raw formation energy (meV per atom): 0

Entry 5:
# TaTcSCl2

A relaxed TaTcSCl2 crystal (GGA-PBE, Alexandria via LeMat-Bulk).

abc: 4.8446 4.8446 4.8165
angles: 90.00 90.00 90.00
Fractional coordinates of all 5 atoms:
Ta 0.0000 0.0000 0.0000
Tc 0.5000 0.5000 0.5000
S 0.0000 0.0000 0.5000
Cl 0.0000 0.5000 0.0000
Cl 0.5000 0.0000 0.0000

Calculated values
Fermi-level density of states (states/eV/cell): 5.7
Raw formation energy (meV per atom): 458
Offset from the most stable computed form (meV per atom): 0

Entry 6:
# CeHo8Er4

A relaxed CeHo8Er4 crystal (GGA-PBE, Alexandria via LeMat-Bulk).

abc: 9.7957 9.7957 9.7957
angles: 43.25 43.25 43.25
Fractional coordinates of all 13 atoms:
Ce 0.0000 0.0000 0.0000
Ho 0.2456 0.2456 0.6989
Ho 0.2456 0.6989 0.2456
Ho 0.2795 0.2795 0.2795
Ho 0.3011 0.7544 0.7544
Ho 0.6989 0.2456 0.2456
Ho 0.7205 0.7205 0.7205
Ho 0.7544 0.3011 0.7544
Ho 0.7544 0.7544 0.3011
Er 0.0000 0.0000 0.5000
Er 0.0000 0.5000 0.0000
Er 0.5000 0.0000 0.0000
Er 0.5000 0.5000 0.5000

Calculated values
E_tot (eV/atom): -4.505
Fermi-level density of states (states/eV/cell): 19.7